Here is an optimized crystal structure of ZrTl2 from the Alexandria database. Energies are from PBE.

Structure (POSCAR):
```
ZrTl2
1.0
6.190 -0.006 0.029
5.268 3.250 0.029
2.246 0.636 7.473
Zr Tl
2 4
direct
0.060 0.060 0.383
0.725 0.725 0.056
0.334 0.334 0.324
0.383 0.383 0.727
0.660 0.660 0.664
0.006 0.006 0.012
```

Calculated values
magnetic moment	0.00	Bohr magnetons per cell
E_form	43	meV per atom
ρ	11.045	Mg/m³